[1]
A plane-wave DFT calculation with PBE was carried out for an optimized crystal structure of MgCdAgRh.

The structure in POSCAR format:
```
MgCdAgRh
1.0
0.000 3.259 3.259
3.259 0.000 3.259
3.259 3.259 0.000
Mg Cd Ag Rh
1 1 1 1
direct
0.000 0.000 0.000
0.500 0.500 0.500
0.750 0.750 0.750
0.250 0.250 0.250
```

Computed properties:
**Offset from the most stable computed form**: 0.028 eV per atom
**Formation enthalpy at 0 K**: -0.23 eV/atom
**Crystal system**: cubic
**Symmetry**: No. 216

[2]
A plane-wave DFT calculation with PBE was carried out for an optimized crystal structure of PmNd3Sm2Y6.

The structure in POSCAR format:
```
PmNd3Sm2Y6
1.0
3.138 -5.435 0.000
3.138 5.435 0.000
-2.084 0.000 11.702
Pm Nd Sm Y
1 3 2 6
direct
0.000 0.000 0.000
0.167 0.833 0.500
0.500 0.500 0.500
0.833 0.167 0.500
0.333 0.667 0.000
0.667 0.333 0.000
0.083 0.416 0.249
0.251 0.251 0.751
0.416 0.083 0.249
0.584 0.917 0.751
0.749 0.749 0.249
0.917 0.584 0.751
```

Computed properties:
**Formation enthalpy at 0 K**: 0.01 eV/atom
**Crystal system**: monoclinic
**Symmetry**: No. 12

[3]
A plane-wave DFT calculation with PBE was carried out for an optimized crystal structure of DyGa4Ge.

The structure in POSCAR format:
```
DyGa4Ge
1.0
0.000 3.875 3.875
3.875 0.000 3.875
3.875 3.875 0.000
Dy Ga Ge
1 4 1
direct
0.000 0.000 0.000
0.375 0.375 0.375
0.375 0.375 0.874
0.375 0.874 0.375
0.874 0.375 0.375
0.750 0.750 0.750
```

Computed properties:
**Formation enthalpy at 0 K**: -0.19 eV/atom
**Crystal system**: cubic
**Symmetry**: No. 216

[4]
A plane-wave DFT calculation with PBE was carried out for an optimized crystal structure of Ga2HgTe4.

The structure in POSCAR format:
```
Ga2HgTe4
1.0
-3.022 3.022 6.364
3.022 -3.022 6.364
3.022 3.022 -6.364
Ga Hg Te
2 1 4
direct
0.250 0.750 0.500
0.750 0.250 0.500
0.000 0.000 0.000
0.158 0.596 0.000
0.404 0.404 0.562
0.596 0.158 0.000
0.842 0.842 0.438
```

Computed properties:
**Raw formation energy**: -0.290 eV per atom
**Offset from the most stable computed form**: 0.011 eV per atom
**Crystal system**: tetragonal
**Symmetry**: No. 121

[5]
A plane-wave DFT calculation with PBE was carried out for an optimized crystal structure of Sc2AgRhN.

The structure in POSCAR format:
```
Sc2AgRhN
1.0
4.409 0.000 0.000
0.000 4.409 0.000
0.000 0.000 4.080
Sc Ag Rh N
2 1 1 1
direct
0.000 0.500 0.000
0.500 0.000 0.000
0.000 0.000 0.500
0.500 0.500 0.500
0.500 0.500 0.000
```

Computed properties:
**Raw formation energy**: -0.790 eV per atom
**Crystal system**: tetragonal
**Symmetry**: No. 123

[6]
A plane-wave DFT calculation with PBE was carried out for an optimized crystal structure of CdNi3Ge.

The structure in POSCAR format:
```
CdNi3Ge
1.0
4.653 0.000 0.000
0.000 4.653 0.000
0.000 0.000 4.653
Cd Ni Ge
1 3 1
direct
0.000 0.000 0.000
0.000 0.000 0.500
0.000 0.500 0.000
0.500 0.000 0.000
0.500 0.500 0.500
```

Computed properties:
**Offset from the most stable computed form**: 1.336 eV per atom
**Formation enthalpy at 0 K**: 1.31 eV/atom
**Crystal system**: cubic
**Symmetry**: No. 221

[7]
A plane-wave DFT calculation with PBE was carried out for an optimized crystal structure of Pm12Sm2Tl.

The structure in POSCAR format:
```
Pm12Sm2Tl
1.0
6.714 0.000 0.000
0.000 6.714 0.000
0.000 0.000 23.744
Pm Sm Tl
24 4 2
direct
0.005 0.505 0.093
0.005 0.995 0.907
0.084 0.584 0.565
0.084 0.916 0.435
0.250 0.250 0.200
0.250 0.250 0.328
0.250 0.250 0.672
0.250 0.250 0.800
0.416 0.584 0.435
0.416 0.916 0.565
0.495 0.505 0.907
0.495 0.995 0.093
0.505 0.005 0.907
0.505 0.495 0.093
0.584 0.084 0.435
0.584 0.416 0.565
0.750 0.750 0.200
0.750 0.750 0.328
0.750 0.750 0.672
0.750 0.750 0.800
0.916 0.084 0.565
0.916 0.416 0.435
0.995 0.005 0.093
0.995 0.495 0.907
0.250 0.750 0.247
0.250 0.750 0.753
0.750 0.250 0.247
0.750 0.250 0.753
0.250 0.750 0.000
0.750 0.250 0.000
```

Computed properties:
**Formation enthalpy at 0 K**: 0.23 eV/atom
**Crystal system**: tetragonal
**Symmetry**: No. 125

[8]
A plane-wave DFT calculation with PBE was carried out for an optimized crystal structure of Y2In4Se.

The structure in POSCAR format:
```
Y2In4Se
1.0
-2.808 2.808 7.490
2.808 -2.808 7.490
2.808 2.808 -7.490
Y In Se
2 4 1
direct
0.113 0.113 0.000
0.887 0.887 0.000
0.000 0.500 0.500
0.322 0.322 0.000
0.500 0.000 0.500
0.678 0.678 0.000
0.500 0.500 0.000
```

Computed properties:
**Raw formation energy**: 0.107 eV per atom
**Crystal system**: tetragonal
**Symmetry**: No. 139

[9]
A plane-wave DFT calculation with PBE was carried out for an optimized crystal structure of TiSnGe2.

The structure in POSCAR format:
```
TiSnGe2
1.0
-3.034 3.034 6.031
3.034 -3.034 6.031
3.034 3.034 -6.031
Ti Sn Ge
2 2 4
direct
0.000 0.000 0.000
0.750 0.250 0.500
0.250 0.750 0.500
0.500 0.500 0.000
0.105 0.625 0.980
0.375 0.355 0.480
0.645 0.125 0.020
0.875 0.895 0.520
```

Computed properties:
**Formation enthalpy at 0 K**: 0.29 eV/atom
**Crystal system**: tetragonal
**Symmetry**: No. 122

[10]
A plane-wave DFT calculation with PBE was carried out for an optimized crystal structure of V2FeTcN.

The structure in POSCAR format:
```
V2FeTcN
1.0
3.957 0.000 0.000
0.000 3.957 0.000
0.000 0.000 3.686
V Fe Tc N
2 1 1 1
direct
0.000 0.500 0.000
0.500 0.000 0.000
0.000 0.000 0.500
0.500 0.500 0.500
0.000 0.000 0.000
```

Computed properties:
**Raw formation energy**: -0.372 eV per atom
**Crystal system**: tetragonal
**Symmetry**: No. 123

[11]
A plane-wave DFT calculation with PBE was carried out for an optimized crystal structure of BaCdAg2Cl8.

The structure in POSCAR format:
```
BaCdAg2Cl8
1.0
-3.526 3.526 6.724
3.526 -3.526 6.724
3.526 3.526 -6.724
Ba Cd Ag Cl
1 1 2 8
direct
0.000 0.000 0.000
0.250 0.750 0.500
0.500 0.500 0.000
0.750 0.250 0.500
0.023 0.391 0.005
0.216 0.433 0.588
0.371 0.784 0.217
0.386 0.018 0.995
0.567 0.154 0.783
0.609 0.614 0.632
0.846 0.629 0.412
0.982 0.977 0.368
```

Computed properties:
**Raw formation energy**: -0.950 eV per atom
**Crystal system**: tetragonal
**Symmetry**: No. 82

[12]
A plane-wave DFT calculation with PBE was carried out for an optimized crystal structure of BeTlSe2.

The structure in POSCAR format:
```
BeTlSe2
1.0
3.874 0.000 0.000
0.000 3.923 0.000
0.000 0.000 5.925
Be Tl Se
1 1 2
direct
0.000 0.000 0.000
0.500 0.500 0.000
0.000 0.500 0.500
0.500 0.000 0.500
```

Computed properties:
**Raw formation energy**: 0.534 eV per atom
**Offset from the most stable computed form**: 0.945 eV per atom
**Crystal system**: orthorhombic
**Symmetry**: No. 47

no.,E (eV for the cell shown),magnetic moment (μB per atom),density of states at the Fermi level (states/eV/cell)
1,-13.61,0.00,2.57
2,-67.15,0.00,14.46
3,-22.49,0.00,1.93
4,-20.95,0.00,0.04
5,-35.14,0.00,2.40
6,-16.30,0.11,9.02
7,-130.75,0.00,36.79
8,-26.62,0.00,5.06
9,-39.93,0.00,0.00
10,-47.25,0.24,4.93
11,-34.71,0.00,6.60
12,-10.92,0.00,2.32